(1)
Below is a relaxed structure of Ni2PtAu, with properties calculated at the PBE level.

Geometry as POSCAR:
```
Ni2PtAu
1.0
-0.071 -2.487 1.166
1.258 1.007 2.225
-13.185 3.192 6.011
Ni Pt Au
4 2 2
Cartesian
-9.038 1.888 5.104
-2.960 -0.176 4.297
-12.209 2.657 6.548
0.210 -0.945 2.853
-1.979 0.182 1.884
-10.020 1.530 7.517
-5.258 0.976 3.379
-6.741 0.735 6.022
```

Summary:
- crystal system = tetragonal
- excess energy over the best structure of this formula in the dataset (meV per atom) = 0
- uncorrected energy (eV per atom) = -5.225
- DFT formation energy (meV/atom) = -5
- N(E_F) (states/eV/cell) = 11.51


(2)
Below is a relaxed structure of NiPt2Au, with properties calculated at the PBE level.

Geometry as POSCAR:
```
NiPt2Au
1.0
-2.072 -4.265 0.997
2.228 -2.115 3.748
-1.823 4.446 -0.627
Au Ni Pt
1 1 2
Cartesian
0.241 -0.430 2.747
-1.908 -1.505 1.372
0.000 0.000 0.000
0.078 -3.190 2.372
```

Summary:
- crystal system = tetragonal
- excess energy over the best structure of this formula in the dataset (meV per atom) = 85
- uncorrected energy (eV per atom) = -5.243
- DFT formation energy (meV/atom) = 42
- N(E_F) (states/eV/cell) = 5.61


(3)
Below is a relaxed structure of Ni2PtAu, with properties calculated at the PBE level.

Geometry as POSCAR:
```
Ni2PtAu
1.0
-0.773 8.483 -2.075
-2.819 7.474 -3.614
-3.260 8.081 -0.967
Au Ni Pt
1 2 1
Cartesian
-5.139 18.029 -4.992
-6.837 23.984 -6.641
-3.442 12.075 -3.343
-1.713 6.010 -1.664
```

Summary:
- crystal system = trigonal
- excess energy over the best structure of this formula in the dataset (meV per atom) = 62
- uncorrected energy (eV per atom) = -5.163
- DFT formation energy (meV/atom) = 57
- N(E_F) (states/eV/cell) = 4.60


(4)
Below is a relaxed structure of Ni2PtAu2, with properties calculated at the PBE level.

Geometry as POSCAR:
```
Ni2PtAu2
1.0
-4.650 2.575 3.657
0.043 -5.249 3.751
2.544 1.552 2.142
Ni Au Pt
4 4 2
Cartesian
-1.692 -3.619 4.631
-4.027 -1.051 5.545
-2.915 0.945 2.777
-0.580 -1.622 1.864
0.504 -2.307 4.217
-1.814 -1.844 6.635
-2.566 1.185 5.334
-0.248 0.722 2.916
0.000 0.000 0.000
-2.303 -1.337 3.704
```

Summary:
- crystal system = tetragonal
- excess energy over the best structure of this formula in the dataset (meV per atom) = 0
- uncorrected energy (eV per atom) = -4.623
- DFT formation energy (meV/atom) = 209
- N(E_F) (states/eV/cell) = 10.37


(5)
Below is a relaxed structure of Ni2PtRhAu, with properties calculated at the PBE level.

Geometry as POSCAR:
```
Ni2PtRhAu
1.0
-1.107 -4.346 0.911
4.183 -1.526 -2.196
2.202 0.278 4.002
Rh Au Pt Ni
1 1 1 2
Cartesian
2.639 -2.797 1.358
0.000 0.000 0.000
2.092 -0.763 -1.098
1.101 0.139 2.001
-0.554 -2.173 0.456
```

Summary:
- crystal system = tetragonal
- uncorrected energy (eV per atom) = -4.049
- DFT formation energy (meV/atom) = 1597
- N(E_F) (states/eV/cell) = 10.58


(6)
Below is a relaxed structure of NiPt2AuS, with properties calculated at the PBE level.

Geometry as POSCAR:
```
NiPt2AuS
1.0
-2.501 1.175 -3.922
2.839 -1.465 -2.249
-2.147 -4.290 0.084
Ni S Au Pt
1 1 1 2
Cartesian
0.000 0.000 0.000
1.419 -0.732 -1.125
-0.905 -2.290 -3.044
-1.073 -2.145 0.042
-1.251 0.588 -1.961
```

Summary:
- crystal system = tetragonal
- uncorrected energy (eV per atom) = -4.349
- E_form (uncorrected) (meV/atom) = 705
- N(E_F) (states/eV/cell) = 4.23


(7)
Below is a relaxed structure of ScNiPt2Au, with properties calculated at the PBE level.

Geometry as POSCAR:
```
ScNiPt2Au
1.0
4.753 0.000 0.000
0.000 4.992 0.000
0.000 0.000 4.753
Sc Ni Au Pt
1 1 1 2
Cartesian
0.000 0.000 0.000
2.376 2.496 2.376
0.000 2.496 0.000
0.000 0.000 2.376
2.376 0.000 0.000
```

Summary:
- crystal system = tetragonal
- uncorrected energy (eV per atom) = -4.570
- DFT formation energy (meV/atom) = 925
- N(E_F) (states/eV/cell) = 2.46


(8)
Below is a relaxed structure of Sc4Ni2PtAu, with properties calculated at the PBE level.

Geometry as POSCAR:
```
Sc4Ni2PtAu
1.0
4.625 0.000 0.000
2.312 4.005 0.000
2.312 1.335 7.574
Sc Ni Pt Au
4 2 1 1
Cartesian
4.625 2.670 6.572
6.937 4.005 2.884
2.312 1.335 4.690
4.625 2.670 1.002
6.937 4.005 5.639
2.312 1.335 1.935
4.625 2.670 3.787
0.000 0.000 0.000
```

Summary:
- crystal system = trigonal
- uncorrected energy (eV per atom) = -6.535
- DFT formation energy (meV/atom) = -759
- N(E_F) (states/eV/cell) = 3.77